The following is a DFT calculation (PBE) of an optimized crystal structure of Mo4Au3.

ΔH_f (0 K) ... 231 meV/atom
D(E_F) ... 4.02 states/eV/f.u.

abc: 10.842 10.842 10.842
angles: 162.28 162.28 25.16
Sites, in units of the cell vectors:
Mo1 0.136 0.136 0.000
Mo2 0.423 0.423 0.000
Mo3 0.577 0.577 0.000
Mo4 0.864 0.864 0.000
Au1 0.000 0.000 0.000
Au2 0.286 0.286 0.000
Au3 0.714 0.714 0.000

=====

The following is a DFT calculation (PBE) of an optimized crystal structure of Mo2Au.

ΔH_f (0 K) ... 271 meV/atom
D(E_F) ... 2.96 states/eV/f.u.

abc: 5.572 5.572 6.925
angles: 76.83 76.83 28.05
Sites, in units of the cell vectors:
Mo1 0.363 0.363 0.516
Mo2 0.698 0.698 0.847
Mo3 0.302 0.302 0.153
Mo4 0.637 0.637 0.484
Au1 0.967 0.967 0.810
Au2 0.033 0.033 0.190

=====

The following is a DFT calculation (PBE) of an optimized crystal structure of MoAu3.

ΔH_f (0 K) ... 404 meV/atom
D(E_F) ... 3.96 states/eV/f.u.

abc: 8.491 8.491 8.491
angles: 151.07 151.07 41.37
Each line ends with the local moment (μB).
Sites, in units of the cell vectors:
Mo1 0.372 0.372 0.000  2.10
Mo2 0.628 0.628 0.000  2.10
Au1 0.500 0.000 0.500  0.12
Au2 0.124 0.124 0.000  0.09
Au3 0.876 0.876 0.000  0.09
Au4 0.750 0.250 0.500  0.07
Au5 0.250 0.750 0.500  0.07
Au6 0.000 0.500 0.500  0.12